[1]
Below is Cu4Ag after structural relaxation, with properties calculated at the GGA-PBE level.

```
data_Cu4Ag
_symmetry_space_group_name_H-M 'P 1'
_symmetry_Int_Tables_number 1
_cell_length_a 5.549
_cell_length_b 5.549
_cell_length_c 9.028
_cell_angle_alpha 97.40
_cell_angle_beta 97.40
_cell_angle_gamma 28.33
loop_
_symmetry_equiv_pos_as_xyz
'x,y,z'
loop_
_atom_site_label
_atom_site_type_symbol
_atom_site_fract_x
_atom_site_fract_y
_atom_site_fract_z
Cu1 Cu 0.045 0.045 0.139
Cu2 Cu 0.260 0.260 0.766
Cu3 Cu 0.347 0.347 0.045
Cu4 Cu 0.433 0.433 0.317
Cu5 Cu 0.567 0.567 0.683
Cu6 Cu 0.653 0.653 0.955
Cu7 Cu 0.740 0.740 0.234
Cu8 Cu 0.955 0.955 0.861
Ag1 Ag 0.134 0.134 0.449
Ag2 Ag 0.866 0.866 0.551
```

Output
E above lowest polymorph = 10 meV per atom
Space-group type = C2/m (12)
Total energy = -3.485 eV/atom
ΔE_f = 0.05 eV/atom
Calculated density = 9.2 g/cm3

[2]
Below is Y2NiGe after structural relaxation, with properties calculated at the GGA-PBE level.

```
data_Y2NiGe
_symmetry_space_group_name_H-M 'P 1'
_symmetry_Int_Tables_number 1
_cell_length_a 6.871
_cell_length_b 6.871
_cell_length_c 6.871
_cell_angle_alpha 90.00
_cell_angle_beta 90.00
_cell_angle_gamma 90.00
loop_
_symmetry_equiv_pos_as_xyz
'x,y,z'
loop_
_atom_site_label
_atom_site_type_symbol
_atom_site_fract_x
_atom_site_fract_y
_atom_site_fract_z
Y1 Y 0.000 0.000 0.000
Y2 Y 0.000 0.500 0.500
Y3 Y 0.250 0.250 0.250
Y4 Y 0.250 0.750 0.750
Y5 Y 0.500 0.000 0.500
Y6 Y 0.500 0.500 0.000
Y7 Y 0.750 0.250 0.750
Y8 Y 0.750 0.750 0.250
Ni1 Ni 0.250 0.250 0.750
Ni2 Ni 0.250 0.750 0.250
Ni3 Ni 0.750 0.250 0.250
Ni4 Ni 0.750 0.750 0.750
Ge1 Ge 0.000 0.000 0.500
Ge2 Ge 0.000 0.500 0.000
Ge3 Ge 0.500 0.000 0.000
Ge4 Ge 0.500 0.500 0.500
```

Output
Space-group type = F-43m (216)
Total energy = -5.759 eV/atom
Calculated density = 6.3 g/cm3

[3]
Below is ZrFeTcAs after structural relaxation, with properties calculated at the GGA-PBE level.

```
data_ZrFeTcAs
_symmetry_space_group_name_H-M 'P 1'
_symmetry_Int_Tables_number 1
_cell_length_a 6.373
_cell_length_b 6.373
_cell_length_c 6.373
_cell_angle_alpha 90.00
_cell_angle_beta 90.00
_cell_angle_gamma 90.00
loop_
_symmetry_equiv_pos_as_xyz
'x,y,z'
loop_
_atom_site_label
_atom_site_type_symbol
_atom_site_fract_x
_atom_site_fract_y
_atom_site_fract_z
Zr1 Zr 0.000 0.000 0.000
Zr2 Zr 0.000 0.500 0.500
Zr3 Zr 0.500 0.000 0.500
Zr4 Zr 0.500 0.500 0.000
Fe1 Fe 0.000 0.000 0.500
Fe2 Fe 0.000 0.500 0.000
Fe3 Fe 0.500 0.000 0.000
Fe4 Fe 0.500 0.500 0.500
Tc1 Tc 0.250 0.250 0.750
Tc2 Tc 0.250 0.750 0.250
Tc3 Tc 0.750 0.250 0.250
Tc4 Tc 0.750 0.750 0.750
As1 As 0.250 0.250 0.250
As2 As 0.250 0.750 0.750
As3 As 0.750 0.250 0.750
As4 As 0.750 0.750 0.250
```

Output
E above lowest polymorph = 297 meV per atom
Space-group type = F-43m (216)
Total energy = -7.872 eV/atom
Calculated density = 8.2 g/cm3

[4]
Below is TmZrB after structural relaxation, with properties calculated at the GGA-PBE level.

```
data_TmZrB
_symmetry_space_group_name_H-M 'P 1'
_symmetry_Int_Tables_number 1
_cell_length_a 6.102
_cell_length_b 6.102
_cell_length_c 6.102
_cell_angle_alpha 90.00
_cell_angle_beta 90.00
_cell_angle_gamma 90.00
loop_
_symmetry_equiv_pos_as_xyz
'x,y,z'
loop_
_atom_site_label
_atom_site_type_symbol
_atom_site_fract_x
_atom_site_fract_y
_atom_site_fract_z
Tm1 Tm 0.000 0.000 0.000
Tm2 Tm 0.000 0.500 0.500
Tm3 Tm 0.500 0.000 0.500
Tm4 Tm 0.500 0.500 0.000
Zr1 Zr 0.000 0.000 0.500
Zr2 Zr 0.000 0.500 0.000
Zr3 Zr 0.500 0.000 0.000
Zr4 Zr 0.500 0.500 0.500
B1 B 0.250 0.250 0.250
B2 B 0.250 0.750 0.750
B3 B 0.750 0.250 0.750
B4 B 0.750 0.750 0.250
```

Output
E above lowest polymorph = 0 meV per atom
Space-group type = F-43m (216)
Total energy = -6.557 eV/atom
Calculated density = 7.9 g/cm3

[5]
Below is Y2ErHg after structural relaxation, with properties calculated at the GGA-PBE level.

```
data_Y2ErHg
_symmetry_space_group_name_H-M 'P 1'
_symmetry_Int_Tables_number 1
_cell_length_a 5.091
_cell_length_b 10.601
_cell_length_c 8.355
_cell_angle_alpha 90.00
_cell_angle_beta 90.00
_cell_angle_gamma 90.00
loop_
_symmetry_equiv_pos_as_xyz
'x,y,z'
loop_
_atom_site_label
_atom_site_type_symbol
_atom_site_fract_x
_atom_site_fract_y
_atom_site_fract_z
Y1 Y 0.250 0.111 0.000
Y2 Y 0.250 0.387 0.795
Y3 Y 0.250 0.611 0.500
Y4 Y 0.250 0.887 0.295
Y5 Y 0.750 0.113 0.295
Y6 Y 0.750 0.389 0.500
Y7 Y 0.750 0.613 0.795
Y8 Y 0.750 0.889 0.000
Er1 Er 0.250 0.387 0.208
Er2 Er 0.250 0.887 0.708
Er3 Er 0.750 0.113 0.708
Er4 Er 0.750 0.613 0.208
Hg1 Hg 0.250 0.179 0.503
Hg2 Hg 0.250 0.679 0.003
Hg3 Hg 0.750 0.321 0.003
Hg4 Hg 0.750 0.821 0.503
```

Output
E above lowest polymorph = 0 meV per atom
Space-group type = Ama2 (40)
Total energy = -4.649 eV/atom
ΔE_f = -0.20 eV/atom
Calculated density = 8.0 g/cm3

[6]
Below is SrB2Ir2 after structural relaxation, with properties calculated at the GGA-PBE level.

```
data_SrB2Ir2
_symmetry_space_group_name_H-M 'P 1'
_symmetry_Int_Tables_number 1
_cell_length_a 7.164
_cell_length_b 6.188
_cell_length_c 5.624
_cell_angle_alpha 74.50
_cell_angle_beta 56.34
_cell_angle_gamma 49.16
loop_
_symmetry_equiv_pos_as_xyz
'x,y,z'
loop_
_atom_site_label
_atom_site_type_symbol
_atom_site_fract_x
_atom_site_fract_y
_atom_site_fract_z
Sr1 Sr 0.125 0.125 0.125
Sr2 Sr 0.875 0.875 0.875
B1 B 0.201 0.549 0.201
B2 B 0.451 0.799 0.451
B3 B 0.549 0.201 0.549
B4 B 0.799 0.451 0.799
Ir1 Ir 0.244 0.244 0.506
Ir2 Ir 0.494 0.494 0.756
Ir3 Ir 0.506 0.506 0.244
Ir4 Ir 0.756 0.756 0.494
```

Output
Space-group type = Fddd (70)
Total energy = -7.171 eV/atom
Calculated density = 10.6 g/cm3

[7]
Below is LiHfZrIr after structural relaxation, with properties calculated at the GGA-PBE level.

```
data_LiHfZrIr
_symmetry_space_group_name_H-M 'P 1'
_symmetry_Int_Tables_number 1
_cell_length_a 6.486
_cell_length_b 6.486
_cell_length_c 6.486
_cell_angle_alpha 90.00
_cell_angle_beta 90.00
_cell_angle_gamma 90.00
loop_
_symmetry_equiv_pos_as_xyz
'x,y,z'
loop_
_atom_site_label
_atom_site_type_symbol
_atom_site_fract_x
_atom_site_fract_y
_atom_site_fract_z
Li1 Li 0.000 0.000 0.000
Li2 Li 0.000 0.500 0.500
Li3 Li 0.500 0.000 0.500
Li4 Li 0.500 0.500 0.000
Hf1 Hf 0.000 0.000 0.500
Hf2 Hf 0.000 0.500 0.000
Hf3 Hf 0.500 0.000 0.000
Hf4 Hf 0.500 0.500 0.500
Zr1 Zr 0.250 0.250 0.750
Zr2 Zr 0.250 0.750 0.250
Zr3 Zr 0.750 0.250 0.250
Zr4 Zr 0.750 0.750 0.750
Ir1 Ir 0.250 0.250 0.250
Ir2 Ir 0.250 0.750 0.750
Ir3 Ir 0.750 0.250 0.750
Ir4 Ir 0.750 0.750 0.250
```

Output
E above lowest polymorph = 314 meV per atom
Space-group type = F-43m (216)
Total energy = -7.505 eV/atom
Calculated density = 11.4 g/cm3

[8]
Below is SmTl2 after structural relaxation, with properties calculated at the GGA-PBE level.

```
data_SmTl2
_symmetry_space_group_name_H-M 'P 1'
_symmetry_Int_Tables_number 1
_cell_length_a 6.173
_cell_length_b 6.173
_cell_length_c 6.173
_cell_angle_alpha 60.00
_cell_angle_beta 60.00
_cell_angle_gamma 60.00
loop_
_symmetry_equiv_pos_as_xyz
'x,y,z'
loop_
_atom_site_label
_atom_site_type_symbol
_atom_site_fract_x
_atom_site_fract_y
_atom_site_fract_z
Sm1 Sm 0.125 0.125 0.125
Sm2 Sm 0.875 0.875 0.875
Tl1 Tl 0.000 0.500 0.500
Tl2 Tl 0.500 0.000 0.500
Tl3 Tl 0.500 0.500 0.000
Tl4 Tl 0.500 0.500 0.500
```

Output
Space-group type = Fd-3m (227)
Total energy = -3.263 eV/atom
Calculated density = 11.2 g/cm3

Copy entry 5 word for word.
Below is Y2ErHg after structural relaxation, with properties calculated at the GGA-PBE level.

```
data_Y2ErHg
_symmetry_space_group_name_H-M 'P 1'
_symmetry_Int_Tables_number 1
_cell_length_a 5.091
_cell_length_b 10.601
_cell_length_c 8.355
_cell_angle_alpha 90.00
_cell_angle_beta 90.00
_cell_angle_gamma 90.00
loop_
_symmetry_equiv_pos_as_xyz
'x,y,z'
loop_
_atom_site_label
_atom_site_type_symbol
_atom_site_fract_x
_atom_site_fract_y
_atom_site_fract_z
Y1 Y 0.250 0.111 0.000
Y2 Y 0.250 0.387 0.795
Y3 Y 0.250 0.611 0.500
Y4 Y 0.250 0.887 0.295
Y5 Y 0.750 0.113 0.295
Y6 Y 0.750 0.389 0.500
Y7 Y 0.750 0.613 0.795
Y8 Y 0.750 0.889 0.000
Er1 Er 0.250 0.387 0.208
Er2 Er 0.250 0.887 0.708
Er3 Er 0.750 0.113 0.708
Er4 Er 0.750 0.613 0.208
Hg1 Hg 0.250 0.179 0.503
Hg2 Hg 0.250 0.679 0.003
Hg3 Hg 0.750 0.321 0.003
Hg4 Hg 0.750 0.821 0.503
```

Output
E above lowest polymorph = 0 meV per atom
Space-group type = Ama2 (40)
Total energy = -4.649 eV/atom
ΔE_f = -0.20 eV/atom
Calculated density = 8.0 g/cm3